VASP calculation (GGA-PBE) on a relaxed structure of RhBrO2.

POSCAR file:
```
RhBrO2
1.0
0.000 2.882 2.882
2.882 0.000 2.882
2.882 2.882 0.000
Rh O Br
1 2 1
Cartesian
2.882 2.882 2.882 Rh
1.441 1.441 1.441 O
4.323 4.323 4.323 O
0.000 0.000 0.000 Br
```

Properties
- Energy relative to the elements, uncorrected: 90 kJ per mole of atoms
- Spin magnetization: 1.5 μB per formula unit
- Space-group type: Fm-3m (225)
- Final energy: -3.8002 eV per atom